The following is a DFT calculation (PBE) of La6P2HBr3 after structural relaxation.

DFT total energy   -5.352 eV per atom
Total magnetic moment   0.4 μB/cell

a = 7.1942 Å, b = 12.4551 Å, c = 7.7008 Å
α = 90.00°, β = 108.42°, γ = 90.00°
Closest atoms and distances in Å follow each position.
Space group C2/m (No. 12)
One atom of each set of equivalent atoms:
La1 0.2366 0.0000 0.2165 x4  2 P 2.86, 1 H 2.89, 1 Br 3.16
La2 0.2371 0.3338 0.2131 x8  1 H 2.85, 2 P 2.86-2.87, 3 Br 3.14-3.19
P1 0.0000 0.1661 0.0000 x4  6 La 2.86-2.87
H1 0.0000 0.5000 0.0000 x2  6 La 2.85-2.89
Br1 0.0000 0.0000 0.5000 x2  6 La 3.16-3.18
Br2 0.0000 0.3280 0.5000 x4  6 La 3.14-3.21

---

The following is a DFT calculation (PBE) of LaH2PtBr after structural relaxation.

DFT total energy   -3.697 eV per atom
Total magnetic moment   0.0 μB/cell

a = 4.0146 Å, b = 4.0146 Å, c = 6.7910 Å
α = 90.00°, β = 90.00°, γ = 90.00°
Closest atoms and distances in Å follow each position.
Space group P4/mmm (No. 123)
One atom of each set of equivalent atoms:
La1 0.0000 0.0000 0.0000 x1  4 Pt 2.84
H1 0.0000 0.5000 0.5000 x2  2 Br 2.01
Pt1 0.5000 0.5000 0.0000 x1  4 La 2.84
Br1 0.5000 0.5000 0.5000 x1  4 H 2.01

---

The following is a DFT calculation (PBE) of La8HPt3Br4 after structural relaxation.

DFT total energy   -5.392 eV per atom
Total magnetic moment   4.5 μB/cell

a = 8.4098 Å, b = 8.4098 Å, c = 23.2137 Å
α = 90.00°, β = 90.00°, γ = 120.00°
Closest atoms and distances in Å follow each position.
Space group R-3m (No. 166, hexagonal axes)
One atom of each set of equivalent atoms:
La1 0.0000 0.0000 0.2341 x6  3 Pt 2.89
La2 0.0072 0.5036 0.2358 x18  1 H 2.87, 2 Pt 2.93
H1 0.0000 0.0000 0.5000 x3  6 La 2.87
Pt1 0.0000 0.5000 0.5000 x9  6 La 2.89-2.93
Br1 0.0000 0.0000 0.0000 x3  6 La 3.36
Br2 0.0000 0.5000 0.0000 x9  6 La 3.30-3.35

---

Repeat the second record exactly.
The following is a DFT calculation (PBE) of LaH2PtBr after structural relaxation.

DFT total energy   -3.697 eV per atom
Total magnetic moment   0.0 μB/cell

a = 4.0146 Å, b = 4.0146 Å, c = 6.7910 Å
α = 90.00°, β = 90.00°, γ = 90.00°
Closest atoms and distances in Å follow each position.
Space group P4/mmm (No. 123)
One atom of each set of equivalent atoms:
La1 0.0000 0.0000 0.0000 x1  4 Pt 2.84
H1 0.0000 0.5000 0.5000 x2  2 Br 2.01
Pt1 0.5000 0.5000 0.0000 x1  4 La 2.84
Br1 0.5000 0.5000 0.5000 x1  4 H 2.01